1.
VASP calculation (PBE-GGA) on a geometry-optimized Y3BePb structure.

Output
- Polymorph energy (0 for the lowest one): 0 meV/atom
- DFT formation energy: -0.4 eV per formula unit
- Magnetic moment: 0.00 μB per formula unit
- Space-group type: Pm-3m, No. 221

Cell: 5.195 5.195 5.195 Å, 90.00 90.00 90.00°
Fractional coordinates of all 5 atoms:
1 Y 0.500 0.000 0.000
2 Y 0.000 0.000 0.500
3 Y 0.000 0.500 0.000
4 Pb 0.500 0.500 0.500
5 Be 0.000 0.000 0.000



2.
VASP calculation (PBE-GGA) on a geometry-optimized La7Y3Ho structure.

Output
- Polymorph energy (0 for the lowest one): 0 meV/atom
- DFT formation energy: 1.3 eV per formula unit
- Magnetic moment: 0.00 μB per formula unit
- Space-group type: P-1, No. 2

Cell: 6.810 8.961 6.634 Å, 81.55 95.96 79.52°
Fractional coordinates of all 11 atoms:
1 Y 0.925 0.171 0.826
2 Y 0.500 0.000 0.000
3 Y 0.075 0.829 0.174
4 Ho 0.500 0.500 0.500
5 La 0.286 0.147 0.447
6 La 0.231 0.794 0.699
7 La 0.769 0.206 0.301
8 La 0.714 0.853 0.553
9 La 0.000 0.500 0.500
10 La 0.271 0.416 0.016
11 La 0.729 0.584 0.984



3.
VASP calculation (PBE-GGA) on a geometry-optimized Pr4Nd3ErTe8 structure.

Output
- Magnetic moment: 0.00 μB per formula unit
- Space-group type: C2/m, No. 12
- Formation energy without anion corrections: -1399 meV/atom

Cell: 8.986 8.994 8.978 Å, 119.88 120.03 90.00°
Fractional coordinates of all 16 atoms:
1 Te 0.243 0.742 0.487
2 Te 0.251 0.253 0.502
3 Te 0.757 0.258 0.513
4 Te 0.755 0.742 0.998
5 Te 0.757 0.258 0.002
6 Te 0.243 0.742 0.998
7 Te 0.245 0.258 0.002
8 Te 0.749 0.747 0.498
9 Pr 0.000 0.000 0.000
10 Pr 0.500 0.000 0.500
11 Pr 0.500 0.000 0.000
12 Pr 0.000 0.000 0.500
13 Nd 0.500 0.500 0.000
14 Nd 0.500 0.500 0.500
15 Nd 0.000 0.500 0.500
16 Er 0.000 0.500 0.000